A geometry-optimized RbNiPb2Cl8 structure. Source: Alexandria, functional PBE-GGA.

Lattice parameters (Å, degrees): 6.3642 6.6183 8.7354 89.95 89.87 86.50
With the nearest neighbours (Å) after each atom.
Atoms (fractional coordinates):
Rb 0.0000 0.0000 0.0000  6 Cl 3.14-3.20
Ni 0.0000 0.0000 0.5000  4 Cl 2.25
Pb 0.4995 0.4999 0.2681  6 Cl 2.87-2.96
Pb 0.5005 0.5001 0.7319  6 Cl 2.87-2.96
Cl 0.2081 0.8534 0.6823  1 Ni 2.25
Cl 0.2090 0.8544 0.3173  1 Ni 2.25
Cl 0.2396 0.3063 0.5003  1 Ni 2.61
Cl 0.2794 0.3754 0.0006  2 Pb 2.87-2.88, 1 Rb 3.14
Cl 0.7206 0.6246 0.9994  2 Pb 2.87-2.88, 1 Rb 3.14
Cl 0.7604 0.6937 0.4997  1 Ni 2.61
Cl 0.7910 0.1456 0.6827  1 Ni 2.25
Cl 0.7919 0.1466 0.3177  1 Ni 2.25

Summary:
V ... 30.60 A^3/atom
Uncorrected energy ... -3.405 eV per atom
Formation energy from raw total energies ... -0.993 eV/atom


A geometry-optimized Li2PtAu structure. Source: Alexandria, functional PBE-GGA.

Lattice parameters (Å, degrees): 8.7329 8.7329 8.7329 18.72 18.72 18.72
With the nearest neighbours (Å) after each atom.
Atoms (fractional coordinates):
Li 0.2471 0.2471 0.2471  3 Pt 2.64, 3 Au 2.76, 6 Li 2.84
Li 0.7529 0.7529 0.7529  3 Pt 2.64, 3 Au 2.76, 6 Li 2.84
Pt 0.5000 0.5000 0.5000  6 Li 2.64, 6 Pt 2.84
Au 0.0000 0.0000 0.0000  6 Li 2.76, 6 Au 2.84

Summary:
V ... 14.99 A^3/atom
Calculated formation energy ... -10.71 kcal/mol of atoms
Uncorrected energy ... -3.751 eV per atom


A geometry-optimized Pa2MnNi3Ge4 structure. Source: Alexandria, functional PBE-GGA.

Lattice parameters (Å, degrees): 4.0902 4.0902 9.5884 90.00 90.00 90.00
With the nearest neighbours (Å) after each atom.
Atoms (fractional coordinates):
Pa 0.0000 0.5000 0.2413  8 Ge 3.08-3.21, 2 Mn 3.09, 6 Ni 3.09-3.16
Pa 0.5000 0.0000 0.7587  8 Ge 3.08-3.21, 2 Mn 3.09, 6 Ni 3.09-3.16
Mn 0.5000 0.5000 0.0000  4 Ge 2.41
Ni 0.0000 0.0000 0.0000  4 Ge 2.41
Ni 0.0000 0.5000 0.6255  5 Ge 2.32-2.37
Ni 0.5000 0.0000 0.3745  5 Ge 2.32-2.37
Ge 0.0000 0.0000 0.5000  4 Ni 2.37
Ge 0.0000 0.5000 0.8677  3 Ni 2.32-2.41, 2 Mn 2.41
Ge 0.5000 0.0000 0.1323  3 Ni 2.32-2.41, 2 Mn 2.41
Ge 0.5000 0.5000 0.5000  4 Ni 2.37

Summary:
V ... 16.04 A^3/atom
Calculated formation energy ... -12.30 kcal/mol of atoms
Uncorrected energy ... -6.931 eV per atom


A geometry-optimized Pm3Zn2Hg2 structure. Source: Alexandria, functional PBE-GGA.

Lattice parameters (Å, degrees): 11.3393 11.3393 3.6001 90.00 90.00 157.74
With the nearest neighbours (Å) after each atom.
Atoms (fractional coordinates):
Pm 0.0000 0.0000 0.0000  8 Hg 3.38, 4 Pm 3.60-3.62
Pm 0.1629 0.8371 0.0000  6 Zn 3.11-3.15, 4 Hg 3.34
Pm 0.8371 0.1629 0.0000  6 Zn 3.11-3.15, 4 Hg 3.34
Zn 0.2791 0.7209 0.5000  2 Zn 2.54
Zn 0.7209 0.2791 0.5000  2 Zn 2.54
Hg 0.4169 0.5831 0.5000  1 Zn 3.07, 8 Pm 3.34-3.38
Hg 0.5831 0.4169 0.5000  1 Zn 3.07, 8 Pm 3.34-3.38

Summary:
V ... 25.05 A^3/atom
Calculated formation energy ... -8.70 kcal/mol of atoms
Uncorrected energy ... -2.863 eV per atom


A geometry-optimized TiRhN3 structure. Source: Alexandria, functional PBE-GGA.

Lattice parameters (Å, degrees): 3.8682 3.8682 3.8682 90.00 90.00 90.00
With the nearest neighbours (Å) after each atom.
Atoms (fractional coordinates):
Ti 0.0000 0.0000 0.0000  6 N 1.93
Rh 0.5000 0.5000 0.5000  12 N 2.74
N 0.0000 0.0000 0.5000  2 Ti 1.93
N 0.0000 0.5000 0.0000  2 Ti 1.93
N 0.5000 0.0000 0.0000  2 Ti 1.93

Summary:
V ... 11.58 A^3/atom
Uncorrected energy ... -7.101 eV per atom
Formation energy from raw total energies ... 0.943 eV/atom


A geometry-optimized Rb8Ag2O structure. Source: Alexandria, functional PBE-GGA.

Lattice parameters (Å, degrees): 9.0041 9.0041 9.3295 90.01 90.01 55.94
With the nearest neighbours (Å) after each atom.
Atoms (fractional coordinates):
Rb 0.1694 0.1694 0.9019  1 O 2.85
Rb 0.1885 0.7362 0.7947  1 O 2.77
Rb 0.2638 0.8115 0.2053  1 O 2.77
Rb 0.3097 0.3097 0.4196  1 Ag 3.65
Rb 0.6903 0.6903 0.5804  1 Ag 3.65
Rb 0.7362 0.1885 0.7947  1 O 2.77
Rb 0.8115 0.2638 0.2053  1 O 2.77
Rb 0.8306 0.8306 0.0981  1 O 2.85
Ag 0.0889 0.0889 0.5278  1 Ag 2.87
Ag 0.9111 0.9111 0.4722  1 Ag 2.87
O 0.0000 0.0000 0.0000  6 Rb 2.77-2.85

Summary:
V ... 56.97 A^3/atom
Polymorph energy (0 for the lowest one) ... 0 meV/atom
Uncorrected energy ... -1.911 eV per atom
Formation energy from raw total energies ... -0.238 eV/atom


A geometry-optimized Li2SbP5O15 structure. Source: Alexandria, functional PBE-GGA.

Lattice parameters (Å, degrees): 5.4489 15.2110 8.1716 90.00 99.41 90.00
With the nearest neighbours (Å) after each atom.
Atoms (fractional coordinates):
Li 0.1331 0.1587 0.1582  3 O 1.89-2.02
Li 0.1331 0.3413 0.1582  3 O 1.89-2.02
Li 0.8669 0.6587 0.8418  3 O 1.89-2.02
Li 0.8669 0.8413 0.8418  3 O 1.89-2.02
Sb 0.5000 0.0000 0.5000  6 O 2.25-2.39
Sb 0.5000 0.5000 0.5000  6 O 2.25-2.39
P 0.0164 0.1502 0.5207  4 O 1.51-1.60
P 0.0164 0.3498 0.5207  4 O 1.51-1.60
P 0.3275 0.1001 0.8479  4 O 1.48-1.64
P 0.3275 0.3999 0.8479  4 O 1.48-1.64
P 0.4071 0.7500 0.9708  4 O 1.50-1.63
P 0.5929 0.2500 0.0292  4 O 1.50-1.63
P 0.6725 0.6001 0.1521  4 O 1.48-1.64
P 0.6725 0.8999 0.1521  4 O 1.48-1.64
P 0.9836 0.6502 0.4793  4 O 1.51-1.60
P 0.9836 0.8498 0.4793  4 O 1.51-1.60
O 0.0126 0.2500 0.4582  2 P 1.60
O 0.1377 0.7500 0.8944  1 P 1.50
O 0.1561 0.1591 0.7050  2 P 1.58-1.64
O 0.1561 0.3409 0.7050  2 P 1.58-1.64
O 0.1693 0.1007 0.4098  1 P 1.53
O 0.1693 0.3993 0.4098  1 P 1.53
O 0.1852 0.0826 0.9836  1 P 1.48
O 0.1852 0.4174 0.9836  1 P 1.48
O 0.2470 0.6197 0.4822  1 P 1.51
O 0.2470 0.8803 0.4822  1 P 1.51
O 0.3950 0.2500 0.1374  1 P 1.50
O 0.4270 0.0238 0.7589  1 P 1.52
O 0.4270 0.4762 0.7589  1 P 1.52
O 0.4442 0.6673 0.0989  2 P 1.61-1.63
O 0.4442 0.8327 0.0989  2 P 1.61-1.63
O 0.5558 0.1673 0.9011  2 P 1.61-1.63
O 0.5558 0.3327 0.9011  2 P 1.61-1.63
O 0.5730 0.5238 0.2411  1 P 1.52
O 0.5730 0.9762 0.2411  1 P 1.52
O 0.6050 0.7500 0.8626  1 P 1.50
O 0.7530 0.1197 0.5178  1 P 1.51
O 0.7530 0.3803 0.5178  1 P 1.51
O 0.8148 0.5826 0.0164  1 P 1.48
O 0.8148 0.9174 0.0164  1 P 1.48
O 0.8307 0.6007 0.5902  1 P 1.53
O 0.8307 0.8993 0.5902  1 P 1.53
O 0.8439 0.6591 0.2950  2 P 1.58-1.64
O 0.8439 0.8409 0.2950  2 P 1.58-1.64
O 0.8623 0.2500 0.1056  1 P 1.50
O 0.9874 0.7500 0.5418  2 P 1.60

Summary:
V ... 14.53 A^3/atom
Uncorrected energy ... -6.832 eV per atom
Formation energy from raw total energies ... -2.076 eV/atom


A geometry-optimized CrCoGePdS structure. Source: Alexandria, functional PBE-GGA.

Lattice parameters (Å, degrees): 6.5003 6.5003 3.7283 101.39 101.39 28.07
With the nearest neighbours (Å) after each atom.
Atoms (fractional coordinates):
Cr 0.0000 0.0000 0.0000  2 S 2.26, 1 Ge 2.51
Co 0.6669 0.6669 0.2902  2 S 2.10-2.13
Ge 0.8600 0.8600 0.4139  1 Co 2.38, 2 Cr 2.51-2.57, 4 Pd 2.56-2.58
Pd 0.2942 0.2942 0.8716  4 Ge 2.56-2.58
S 0.5858 0.5858 0.7298  2 Co 2.10-2.13, 2 Cr 2.26

Summary:
V ... 14.51 A^3/atom
Polymorph energy (0 for the lowest one) ... 151 meV/atom
Uncorrected energy ... -6.279 eV per atom
Formation energy from raw total energies ... -0.145 eV/atom